# Ti2GaAg2 | Alexandria | GGA-PBE | optimized geometry
data_Ti2GaAg2
_chemical_formula_sum 'Ti4 Ga2 Ag4'
_symmetry_space_group_name_H-M 'P 4/m b m'
_symmetry_Int_Tables_number 127
_symmetry_space_group_name_Hall '-P 4 2ab'
_cell_length_a 7.5608
_cell_length_b 7.5608
_cell_length_c 3.2275
_cell_angle_alpha 90.00
_cell_angle_beta 90.00
_cell_angle_gamma 90.00
loop_
_atom_site_label
_atom_site_type_symbol
_atom_site_fract_x
_atom_site_fract_y
_atom_site_fract_z
Ti1 Ti 0.1647 0.3353 0.0000
Ga1 Ga 0.0000 0.0000 0.0000
Ag1 Ag 0.1323 0.6323 0.5000
# DFT formation energy: 0.234 eV/atom
# N(E_F): 4.30 states/eV/f.u.
# polymorph energy (0 for the lowest one): 0.101 eV/atom